This record from Alexandria describes crystalline Tl3Ag2BiCl9 at its relaxed geometry. The functional is PBE.

Cell and atoms, written as POSCAR:
```
Tl3Ag2BiCl9
1.0
7.478 0.000 0.000
-3.739 6.476 0.000
0.000 0.000 9.303
Tl Ag Bi Cl
3 2 1 9
Cartesian
0.000 0.000 0.000
0.000 4.317 6.869
3.739 2.159 2.434
0.000 4.317 1.506
3.739 2.159 7.797
0.000 0.000 4.652
-1.870 3.238 0.000
0.000 2.140 3.015
-1.886 5.406 3.015
1.853 1.070 6.288
3.739 0.000 0.000
1.870 3.238 0.000
1.886 5.406 3.015
5.625 1.070 6.288
3.739 4.336 6.288
```

DFT total energy: -3.023 eV/atom
ρ: 5.00 g/cm³


This record from Alexandria describes crystalline Tl3Ag2BiCl8 at its relaxed geometry. The functional is PBE.

Cell and atoms, written as POSCAR:
```
Tl3Ag2BiCl8
1.0
7.553 0.000 0.000
-3.777 6.541 0.000
0.000 0.000 9.452
Tl Ag Bi Cl
3 2 1 8
Cartesian
0.000 0.000 0.000
0.000 4.361 5.821
3.777 2.180 3.631
0.000 4.361 1.630
3.777 2.180 7.823
0.000 0.000 4.726
0.000 2.147 3.060
-1.917 5.468 3.060
1.859 1.073 6.392
0.000 4.361 8.664
3.777 2.180 0.788
1.917 5.468 3.060
5.694 1.073 6.392
3.777 4.394 6.392
```

DFT total energy: -3.045 eV/atom
ρ: 4.70 g/cm³


This record from Alexandria describes crystalline ZnAgBiCl6 at its relaxed geometry. The functional is PBE.

Cell and atoms, written as POSCAR:
```
ZnAgBiCl6
1.0
6.679 0.000 0.000
-3.340 5.784 0.000
0.000 0.000 12.179
Zn Ag Bi Cl
2 2 2 12
Cartesian
0.000 3.856 3.045
3.340 1.928 9.134
0.000 0.000 0.000
0.000 0.000 6.089
0.000 3.856 9.134
3.340 1.928 3.045
-1.030 2.103 1.583
-2.034 3.841 4.506
1.030 2.103 4.506
-1.004 5.625 1.583
2.336 0.159 7.672
1.306 1.943 10.596
2.034 3.841 1.583
1.004 5.625 4.506
4.343 0.159 10.596
2.310 3.682 7.672
5.373 1.943 7.672
4.369 3.682 10.596
```

DFT total energy: -2.996 eV/atom
ρ: 4.20 g/cm³


This record from Alexandria describes crystalline Co3AgBi at its relaxed geometry. The functional is PBE.

Cell and atoms, written as POSCAR:
```
Co3AgBi
1.0
4.675 0.000 0.000
0.000 4.675 0.000
0.000 0.000 4.675
Co Ag Bi
3 1 1
Cartesian
0.000 0.000 2.337
0.000 2.337 0.000
2.337 0.000 0.000
0.000 0.000 0.000
2.337 2.337 2.337
```

relative energy among the computed polymorphs: 0.00 eV/f.u.
formation energy: 1.40 eV per atom
DFT total energy: -4.213 eV/atom
ρ: 8.02 g/cm³


This record from Alexandria describes crystalline Co2AgBi2 at its relaxed geometry. The functional is PBE.

Cell and atoms, written as POSCAR:
```
Co2AgBi2
1.0
7.182 0.000 0.000
0.000 7.182 0.000
0.000 0.000 3.661
Co Ag Bi
4 2 4
Cartesian
0.894 2.697 0.000
2.697 6.288 0.000
4.485 0.894 0.000
6.288 4.485 0.000
0.000 0.000 0.000
3.591 3.591 0.000
1.223 4.814 1.831
2.368 1.223 1.831
4.814 5.959 1.831
5.959 2.368 1.831
```

formation energy: 0.35 eV per atom
DFT total energy: -4.614 eV/atom
ρ: 11.32 g/cm³


This record from Alexandria describes crystalline CoAgBi at its relaxed geometry. The functional is PBE.

Cell and atoms, written as POSCAR:
```
CoAgBi
1.0
4.316 0.000 0.000
0.000 4.316 0.000
0.000 0.000 6.366
Co Ag Bi
2 2 2
Cartesian
1.079 3.237 0.000
3.237 1.079 0.000
1.079 1.079 1.715
3.237 3.237 4.651
1.079 1.079 4.715
3.237 3.237 1.651
```

formation energy: 0.26 eV per atom
DFT total energy: -4.355 eV/atom
ρ: 10.53 g/cm³